Record 1
! PBE AcYS2O8, relaxed; values from VASP
! Space group ... P-3m1
! E_form (uncorrected) ... -1.91 eV/atom
&SYSTEM
  ibrav = 0, nat = 12, ntyp = 4
/
ATOMIC_SPECIES
Ac 227.00 Ac.upf
Y 88.91 Y.upf
S 32.06 S.upf
O 16.00 O.upf
ATOMIC_POSITIONS angstrom
Ac 0.000 0.000 0.000
Y 0.000 0.000 3.681
S 0.000 3.233 1.814
S 2.800 1.617 5.547
O 0.000 1.610 2.081
O -1.406 4.045 2.081
O 1.394 0.805 5.281
O 0.000 3.233 0.305
O 2.800 1.617 7.057
O 1.406 4.045 2.081
O 4.206 0.805 5.281
O 2.800 3.240 5.281
CELL_PARAMETERS angstrom
5.600 0.000 0.000
-2.800 4.850 0.000
0.000 0.000 7.361

---

Record 2
! PBE BaPrCd2, relaxed; values from VASP
! Space group ... P4/mmm
! Distance to the lowest polymorph of the same formula ... 0.000 eV per atom
! Formation enthalpy at 0 K ... -0.302 eV/atom
&SYSTEM
  ibrav = 0, nat = 4, ntyp = 3
/
ATOMIC_SPECIES
Ba 137.33 Ba.upf
Pr 140.91 Pr.upf
Cd 112.41 Cd.upf
ATOMIC_POSITIONS angstrom
Ba 0.000 0.000 0.000
Pr 0.000 0.000 4.121
Cd 2.016 2.016 2.367
Cd 2.016 2.016 5.875
CELL_PARAMETERS angstrom
4.032 0.000 0.000
0.000 4.032 0.000
0.000 0.000 8.242

---

no.,density of states at the Fermi level (states/eV/atom)
1,0.250
2,0.946